# 1
NaYGe | PBE | optimized geometry

Results
**Calculated formation energy**: 0.062 eV/atom

a b c (Å): 6.9034 6.9034 6.9034
angles (deg): 90.00 90.00 90.00
Closest atoms and distances in Å follow each position.
Space group F-43m (No. 216)
Unique sites:
Na1 0.0000 0.0000 0.0000 [4 per cell]  4 Y 2.99
Y1 0.2500 0.2500 0.2500 [4 per cell]  4 Ge 2.99, 4 Na 2.99
Ge1 0.0000 0.0000 0.5000 [4 per cell]  4 Y 2.99

---

# 2
Na3YGe | PBE | optimized geometry

Results
**Calculated formation energy**: 0.467 eV/atom
**Polymorph energy (0 for the lowest one)**: 0 meV/atom

a b c (Å): 5.4927 5.4927 5.4927
angles (deg): 90.00 90.00 90.00
Closest atoms and distances in Å follow each position.
Space group Pm-3m (No. 221)
Unique sites:
Na1 0.0000 0.0000 0.5000 [3 per cell]  2 Ge 2.75
Y1 0.5000 0.5000 0.5000 [1 per cell]  12 Na 3.88
Ge1 0.0000 0.0000 0.0000 [1 per cell]  6 Na 2.75

---

# 3
NaYGe | PBE | optimized geometry

Results
**Calculated formation energy**: -0.382 eV/atom

a b c (Å): 4.2323 20.1861 3.9548
angles (deg): 90.00 90.00 90.00
Closest atoms and distances in Å follow each position.
Space group Cmcm (No. 63)
Unique sites:
Na1 0.0000 0.1996 0.2500 [4 per cell]  1 Ge 3.08
Y1 0.0000 0.4274 0.2500 [4 per cell]  6 Ge 2.94-3.21
Ge1 0.0000 0.0472 0.2500 [4 per cell]  2 Ge 2.75, 4 Y 2.94

---

# 4
NaYGe | PBE | optimized geometry

Results
**Calculated formation energy**: -0.331 eV/atom

a b c (Å): 10.5723 4.3517 7.8824
angles (deg): 90.00 119.73 90.00
Closest atoms and distances in Å follow each position.
Space group C2/m (No. 12)
Unique sites:
Na1 0.1764 0.0000 0.0716 [4 per cell]  3 Ge 3.05-3.17, 3 Na 3.19-3.32
Y1 0.0848 0.5000 0.3620 [4 per cell]  5 Ge 2.97-3.16
Ge1 0.1348 0.0000 0.6442 [4 per cell]  1 Ge 2.62

---

Which of these has the lowest calculated formation energy? number 3